(1)
# ScIn2Fe PBEsol optimized geometry
# - Formation energy from the elements: -0.31 eV per formula unit
data_ScIn2Fe
_chemical_formula_sum 'Sc1 In2 Fe1'
_space_group_name_H-M_alt 'P 1'
_space_group_IT_number 1
_cell_length_a 3.0850
_cell_length_b 3.0850
_cell_length_c 7.7183
_cell_angle_alpha 90.00
_cell_angle_beta 90.00
_cell_angle_gamma 90.00
loop_
_space_group_symop_operation_xyz
'x,y,z'
loop_
_atom_site_label
_atom_site_fract_x
_atom_site_fract_y
_atom_site_fract_z
_atom_site_occupancy
Sc1 0.0000 0.0000 0.0000 1
In1 0.5000 0.5000 0.2817 1
In2 0.5000 0.5000 0.7183 1
Fe1 0.0000 0.0000 0.5000 1

=====

(2)
# CrFeMo2 PBEsol optimized geometry
# - Formation energy from the elements: 0.65 eV per formula unit
# - Energy relative to the lowest polymorph listed for this composition: 0.16 eV/f.u.
data_CrFeMo2
_chemical_formula_sum 'Cr1 Fe1 Mo2'
_space_group_name_H-M_alt 'P 1'
_space_group_IT_number 1
_cell_length_a 2.5700
_cell_length_b 4.1512
_cell_length_c 5.0454
_cell_angle_alpha 90.00
_cell_angle_beta 100.17
_cell_angle_gamma 90.00
loop_
_space_group_symop_operation_xyz
'x,y,z'
loop_
_atom_site_label
_atom_site_fract_x
_atom_site_fract_y
_atom_site_fract_z
_atom_site_occupancy
Cr1 0.0000 0.0000 0.0000 1
Fe1 0.5000 0.0000 0.5000 1
Mo1 0.2427 0.5000 0.7515 1
Mo2 0.7573 0.5000 0.2485 1

=====

(3)
# MnHg2Cl PBEsol optimized geometry
# - Formation energy from raw total energies: 0.135 eV/atom
data_MnHg2Cl
_chemical_formula_sum 'Mn1 Hg2 Cl1'
_space_group_name_H-M_alt 'P 1'
_space_group_IT_number 1
_cell_length_a 5.3005
_cell_length_b 5.3005
_cell_length_c 3.2747
_cell_angle_alpha 90.00
_cell_angle_beta 90.00
_cell_angle_gamma 117.59
loop_
_space_group_symop_operation_xyz
'x,y,z'
loop_
_atom_site_label
_atom_site_fract_x
_atom_site_fract_y
_atom_site_fract_z
_atom_site_occupancy
Mn1 0.0000 0.0000 0.0000 1
Hg1 0.0000 0.5000 0.5000 1
Hg2 0.5000 0.0000 0.5000 1
Cl1 0.5000 0.5000 0.0000 1

=====

(4)
# LiAgO2 PBEsol optimized geometry
# - Formation energy from raw total energies: -0.752 eV/atom
data_LiAgO2
_chemical_formula_sum 'Li1 Ag1 O2'
_space_group_name_H-M_alt 'P 1'
_space_group_IT_number 1
_cell_length_a 2.9763
_cell_length_b 3.0747
_cell_length_c 5.2527
_cell_angle_alpha 90.00
_cell_angle_beta 90.00
_cell_angle_gamma 90.00
loop_
_space_group_symop_operation_xyz
'x,y,z'
loop_
_atom_site_label
_atom_site_fract_x
_atom_site_fract_y
_atom_site_fract_z
_atom_site_occupancy
Li1 0.0000 0.0000 0.0000 1
Ag1 0.5000 0.5000 0.5000 1
O1 0.0000 0.5000 0.2465 1
O2 0.0000 0.5000 0.7535 1

=====

(5)
# LiPb PBEsol optimized geometry
# - Formation energy from the elements: -0.42 eV per formula unit
data_LiPb
_chemical_formula_sum 'Li2 Pb2'
_space_group_name_H-M_alt 'P 1'
_space_group_IT_number 1
_cell_length_a 3.3321
_cell_length_b 5.5021
_cell_length_c 5.0446
_cell_angle_alpha 90.00
_cell_angle_beta 90.00
_cell_angle_gamma 90.00
loop_
_space_group_symop_operation_xyz
'x,y,z'
loop_
_atom_site_label
_atom_site_fract_x
_atom_site_fract_y
_atom_site_fract_z
_atom_site_occupancy
Li1 0.2500 0.2500 0.0998 1
Li2 0.7500 0.7500 0.9002 1
Pb1 0.2500 0.7500 0.3975 1
Pb2 0.7500 0.2500 0.6025 1

=====

(6)
# CaMg2Hg PBEsol optimized geometry
# - Formation energy from the elements: -1.02 eV per formula unit
data_CaMg2Hg
_chemical_formula_sum 'Ca1 Mg2 Hg1'
_space_group_name_H-M_alt 'P 1'
_space_group_IT_number 1
_cell_length_a 4.6202
_cell_length_b 6.4184
_cell_length_c 6.4184
_cell_angle_alpha 31.68
_cell_angle_beta 90.00
_cell_angle_gamma 90.00
loop_
_space_group_symop_operation_xyz
'x,y,z'
loop_
_atom_site_label
_atom_site_fract_x
_atom_site_fract_y
_atom_site_fract_z
_atom_site_occupancy
Ca1 0.0000 0.0000 0.0000 1
Mg1 0.0000 0.2640 0.2640 1
Mg2 0.5000 0.6685 0.6685 1
Hg1 0.5000 0.3973 0.3973 1

=====

(7)
# TaVCu6S8 PBEsol optimized geometry
# - Formation energy from raw total energies: -0.618 eV/atom
data_TaVCu6S8
_chemical_formula_sum 'Ta1 V1 Cu6 S8'
_space_group_name_H-M_alt 'P 1'
_space_group_IT_number 1
_cell_length_a 7.5837
_cell_length_b 7.5837
_cell_length_c 5.3653
_cell_angle_alpha 90.00
_cell_angle_beta 90.00
_cell_angle_gamma 90.00
loop_
_space_group_symop_operation_xyz
'x,y,z'
loop_
_atom_site_label
_atom_site_fract_x
_atom_site_fract_y
_atom_site_fract_z
_atom_site_occupancy
Ta1 0.0000 0.0000 0.0000 1
V1 0.5000 0.5000 0.0000 1
Cu1 0.0000 0.0000 0.5000 1
Cu2 0.2535 0.2535 0.0000 1
Cu3 0.2535 0.7465 0.0000 1
Cu4 0.5000 0.5000 0.5000 1
Cu5 0.7465 0.2535 0.0000 1
Cu6 0.7465 0.7465 0.0000 1
S1 0.0000 0.2487 0.2470 1
S2 0.0000 0.7513 0.2470 1
S3 0.2487 0.0000 0.7530 1
S4 0.2635 0.5000 0.7618 1
S5 0.5000 0.2635 0.2382 1
S6 0.5000 0.7365 0.2382 1
S7 0.7365 0.5000 0.7618 1
S8 0.7513 0.0000 0.7530 1

=====

(8)
# Sr3TePb PBEsol optimized geometry
# - Formation energy from raw total energies: -0.600 eV/atom
data_Sr3TePb
_chemical_formula_sum 'Sr3 Te1 Pb1'
_space_group_name_H-M_alt 'P 1'
_space_group_IT_number 1
_cell_length_a 6.0559
_cell_length_b 6.0559
_cell_length_c 6.0559
_cell_angle_alpha 90.00
_cell_angle_beta 90.00
_cell_angle_gamma 90.00
loop_
_space_group_symop_operation_xyz
'x,y,z'
loop_
_atom_site_label
_atom_site_fract_x
_atom_site_fract_y
_atom_site_fract_z
_atom_site_occupancy
Sr1 0.0000 0.0000 0.5000 1
Sr2 0.0000 0.5000 0.0000 1
Sr3 0.5000 0.0000 0.0000 1
Te1 0.0000 0.0000 0.0000 1
Pb1 0.5000 0.5000 0.5000 1

=====

(9)
# CuAu PBEsol optimized geometry
# - Formation energy from the elements: -0.03 eV per formula unit
data_CuAu
_chemical_formula_sum 'Cu2 Au2'
_space_group_name_H-M_alt 'P 1'
_space_group_IT_number 1
_cell_length_a 2.9615
_cell_length_b 2.9615
_cell_length_c 6.4614
_cell_angle_alpha 90.00
_cell_angle_beta 90.00
_cell_angle_gamma 90.00
loop_
_space_group_symop_operation_xyz
'x,y,z'
loop_
_atom_site_label
_atom_site_fract_x
_atom_site_fract_y
_atom_site_fract_z
_atom_site_occupancy
Cu1 0.2500 0.2500 0.1004 1
Cu2 0.7500 0.7500 0.8996 1
Au1 0.2500 0.2500 0.6535 1
Au2 0.7500 0.7500 0.3465 1

=====

(10)
# SrZnCu PBEsol optimized geometry
# - Formation energy from the elements: -0.34 eV per formula unit
data_SrZnCu
_chemical_formula_sum 'Sr1 Zn1 Cu1'
_space_group_name_H-M_alt 'P 1'
_space_group_IT_number 1
_cell_length_a 4.3012
_cell_length_b 4.3012
_cell_length_c 4.2614
_cell_angle_alpha 90.00
_cell_angle_beta 90.00
_cell_angle_gamma 120.00
loop_
_space_group_symop_operation_xyz
'x,y,z'
loop_
_atom_site_label
_atom_site_fract_x
_atom_site_fract_y
_atom_site_fract_z
_atom_site_occupancy
Sr1 0.0000 0.0000 0.0000 1
Zn1 0.3333 0.6667 0.5000 1
Cu1 0.6667 0.3333 0.5000 1

=====

(11)
# CrPRh2 PBEsol optimized geometry
# - Formation energy from the elements: -0.72 eV per formula unit
data_CrPRh2
_chemical_formula_sum 'Cr1 P1 Rh2'
_space_group_name_H-M_alt 'P 1'
_space_group_IT_number 1
_cell_length_a 4.4956
_cell_length_b 4.4956
_cell_length_c 4.4956
_cell_angle_alpha 131.47
_cell_angle_beta 131.47
_cell_angle_gamma 71.07
loop_
_space_group_symop_operation_xyz
'x,y,z'
loop_
_atom_site_label
_atom_site_fract_x
_atom_site_fract_y
_atom_site_fract_z
_atom_site_occupancy
Cr1 0.0000 0.0000 0.0000 1
P1 0.7500 0.2500 0.5000 1
Rh1 0.2500 0.7500 0.5000 1
Rh2 0.5000 0.5000 0.0000 1

=====

(12)
# MgSc2 PBEsol optimized geometry
# - Formation energy from the elements: 0.05 eV per formula unit
data_MgSc2
_chemical_formula_sum 'Mg1 Sc2'
_space_group_name_H-M_alt 'P 1'
_space_group_IT_number 1
_cell_length_a 3.2125
_cell_length_b 3.2125
_cell_length_c 7.8966
_cell_angle_alpha 90.00
_cell_angle_beta 90.00
_cell_angle_gamma 120.00
loop_
_space_group_symop_operation_xyz
'x,y,z'
loop_
_atom_site_label
_atom_site_fract_x
_atom_site_fract_y
_atom_site_fract_z
_atom_site_occupancy
Mg1 0.0000 0.0000 0.0000 1
Sc1 0.3333 0.6667 0.3373 1
Sc2 0.6667 0.3333 0.6627 1

=====

Calculated volume / Å³/atom: 18.36, 13.25, 20.39, 12.02, 23.12, 24.99, 19.29, 44.42, 14.17, 22.76, 12.49, 23.53